# 1
Computed, not measured: crystalline Ac8LaSm6 at its relaxed geometry at the PBE level of DFT.

Summary:
Its formation energy is 0.231 eV/atom. The calculation puts the size of the total moment at 0.00 μB/cell. The value obtained for the energy is -62.65 eV/cell. As for the symmetry: R-3 (148).

Unit cell a=9.2477 b=9.2477 c=9.2477 alpha=66.59 beta=66.59 gamma=66.59
Atoms (fractional coordinates):
Ac  0.1796  0.5869  0.8610
Ac  0.1390  0.8204  0.4131
Ac  0.4131  0.1390  0.8204
Ac  0.7313  0.7313  0.7313
Ac  0.2687  0.2687  0.2687
Ac  0.5869  0.8610  0.1796
Ac  0.8610  0.1796  0.5869
Ac  0.8204  0.4131  0.1390
La  0.0000  0.0000  0.0000
Sm  0.0603  0.3716  0.6796
Sm  0.3204  0.9397  0.6284
Sm  0.6284  0.3204  0.9397
Sm  0.3716  0.6796  0.0603
Sm  0.6796  0.0603  0.3716
Sm  0.9397  0.6284  0.3204

---

# 2
Computed, not measured: crystalline Ac5La6Sm at its relaxed geometry at the PBE level of DFT.

Summary:
Its formation energy is 0.024 eV/atom. The calculation puts the size of the total moment at 0.00 μB/cell. The value obtained for the energy is -54.54 eV/cell. As for the symmetry: C2/m (12).

Unit cell a=5.4449 b=10.7936 c=10.1446 alpha=122.14 beta=105.63 gamma=90.00
Atoms (fractional coordinates):
Ac  0.6627  0.1631  0.3262
Ac  0.3334  0.3333  0.6667
Ac  0.0000  0.5000  0.0000
Ac  0.6666  0.6667  0.3333
Ac  0.3373  0.8369  0.6738
Sm  0.0000  0.0000  0.0000
La  0.8349  0.5872  0.6694
La  0.8351  0.0822  0.6695
La  0.4999  0.7531  0.0000
La  0.5001  0.2469  0.0000
La  0.1649  0.9178  0.3305
La  0.1651  0.4128  0.3306

---

# 3
Computed, not measured: crystalline Ac2La7Sm2 at its relaxed geometry at the PBE level of DFT.

Summary:
Its formation energy is 0.087 eV/atom. The calculation puts the size of the total moment at 0.00 μB/cell. The value obtained for the energy is -51.19 eV/cell. As for the symmetry: C2/m (12).

Unit cell a=11.1216 b=3.8214 c=11.1216 alpha=76.09 beta=112.77 gamma=103.91
Atoms (fractional coordinates):
Ac  0.2019  0.7352  0.7981
Ac  0.7981  0.2648  0.2019
La  0.4220  0.1434  0.0927
La  0.0927  0.8566  0.4220
La  0.5780  0.8566  0.9073
La  0.9073  0.1434  0.5780
La  0.5962  0.4379  0.4038
La  0.0000  0.0000  0.0000
La  0.4038  0.5621  0.5962
Sm  0.7500  0.5000  0.7500
Sm  0.2500  0.5000  0.2500

---

# 4
Computed, not measured: crystalline Ac2La2Sm5 at its relaxed geometry at the PBE level of DFT.

Summary:
Its formation energy is 0.247 eV/atom. The calculation puts the size of the total moment at 0.00 μB/cell. The value obtained for the energy is -39.44 eV/cell. As for the symmetry: C2/m (12).

Unit cell a=3.6652 b=8.4303 c=13.4302 alpha=121.89 beta=97.84 gamma=90.00
Atoms (fractional coordinates):
Ac  0.5512  0.7568  0.1024
Ac  0.4488  0.2432  0.8976
La  0.8103  0.7685  0.6205
La  0.1897  0.2315  0.3795
Sm  0.6910  0.8510  0.3820
Sm  0.3090  0.1490  0.6180
Sm  0.8980  0.5455  0.7961
Sm  0.1020  0.4545  0.2039
Sm  0.0000  0.0000  0.0000

---

> Among the records above, which one has the highest energy?

Ac2La2Sm5

---

Copy entry 3 word for word.
Computed, not measured: crystalline Ac2La7Sm2 at its relaxed geometry at the PBE level of DFT.

Summary:
Its formation energy is 0.087 eV/atom. The calculation puts the size of the total moment at 0.00 μB/cell. The value obtained for the energy is -51.19 eV/cell. As for the symmetry: C2/m (12).

Unit cell a=11.1216 b=3.8214 c=11.1216 alpha=76.09 beta=112.77 gamma=103.91
Atoms (fractional coordinates):
Ac  0.2019  0.7352  0.7981
Ac  0.7981  0.2648  0.2019
La  0.4220  0.1434  0.0927
La  0.0927  0.8566  0.4220
La  0.5780  0.8566  0.9073
La  0.9073  0.1434  0.5780
La  0.5962  0.4379  0.4038
La  0.0000  0.0000  0.0000
La  0.4038  0.5621  0.5962
Sm  0.7500  0.5000  0.7500
Sm  0.2500  0.5000  0.2500

---

> What is the formula in the first record?

Ac8LaSm6